Density functional theory data (PBE with a Hubbard U) for NaMn2Cd3O6 after structural relaxation.

Calculated values
- total energy (eV per atom) = -5.334
- symmetry = C2/m

Lattice parameters (Å, degrees): 3.311 6.649 7.160 103.36 103.37 90.00
Sites, in units of the cell vectors:
Cd: 0.839 0.162 0.678
Cd: 0.500 0.500 0.000
Cd: 0.161 0.838 0.322
Mn: 0.166 0.330 0.333
Mn: 0.834 0.670 0.667
O: 0.680 0.573 0.359
O: 0.014 0.266 0.027
O: 0.320 0.427 0.641
O: 0.671 0.106 0.342
O: 0.329 0.894 0.658
O: 0.986 0.734 0.973
Na: 0.500 0.000 0.000